[1]
Computed, not measured: CdBiAsBr2 after structural relaxation at the PBE-GGA level of DFT.

Geometry as POSCAR:
```
CdBiAsBr2
1.0
-5.3023 2.1610 0.6648
-2.1220 -4.1718 -3.3645
-0.7894 -3.3789 4.6875
Cd Br As Bi
1 2 1 1
Direct
0.5000 0.5000 0.5000 Cd
0.0000 0.5000 0.0000 Br
0.5000 0.0000 0.0000 Br
0.0000 0.0000 0.5000 As
0.0000 0.0000 0.0000 Bi
```

Values from the calculation:
M_tot: 0.340 μB/atom
SG: P4/mmm (123)
Distance to the lowest polymorph of the same formula: 0.000 eV/atom
DFT total energy: -2.408 eV per atom



[2]
Computed, not measured: BiAsBr2Cl after structural relaxation at the PBE-GGA level of DFT.

Geometry as POSCAR:
```
BiAsBr2Cl
1.0
-2.6735 -3.5649 3.3414
0.1185 -3.8551 -4.0181
5.2809 -2.0083 2.0826
Bi Cl Br As
1 1 2 1
Direct
0.0000 0.0000 0.0000 Bi
0.5000 0.5000 0.5000 Cl
0.5000 0.0000 0.0000 Br
0.0000 0.5000 0.0000 Br
0.0000 0.0000 0.5000 As
```

Values from the calculation:
M_tot: 0.258 μB/atom
SG: P4/mmm (123)
Distance to the lowest polymorph of the same formula: 0.000 eV/atom
DFT total energy: -2.549 eV per atom



[3]
Computed, not measured: BiAs2BrCl after structural relaxation at the PBE-GGA level of DFT.

Geometry as POSCAR:
```
BiAs2BrCl
1.0
5.6927 0.0000 0.0000
0.0000 5.6927 0.0000
0.0000 0.0000 5.5984
Bi As Br Cl
1 2 1 1
Direct
0.0000 0.0000 0.0000 Bi
0.0000 0.5000 0.0000 As
0.5000 0.0000 0.0000 As
0.0000 0.0000 0.5000 Br
0.5000 0.5000 0.5000 Cl
```

Values from the calculation:
M_tot: 0.622 μB/atom
SG: P4/mmm (123)
Distance to the lowest polymorph of the same formula: 0.000 eV/atom
DFT total energy: -2.690 eV per atom



[4]
Computed, not measured: BiAsBr2Cl after structural relaxation at the PBE-GGA level of DFT.

Geometry as POSCAR:
```
BiAsBr2Cl
1.0
5.0781 0.0000 0.0000
0.0000 5.0781 0.0000
0.0000 0.0000 5.5156
Cl Bi As Br
1 1 1 2
Direct
0.0000 0.0000 0.0000 Cl
0.5000 0.5000 0.5000 Bi
0.0000 0.0000 0.5000 As
0.5000 0.0000 0.0000 Br
0.0000 0.5000 0.0000 Br
```

Values from the calculation:
M_tot: 0.000 μB/atom
SG: P4/mmm (123)
Distance to the lowest polymorph of the same formula: 0.397 eV/atom
DFT total energy: -2.152 eV per atom



[5]
Computed, not measured: BiAs2BrCl after structural relaxation at the PBE-GGA level of DFT.

Geometry as POSCAR:
```
BiAs2BrCl
1.0
5.1161 0.0000 0.0000
0.0000 5.1161 0.0000
0.0000 0.0000 5.0045
Cl As Br Bi
1 2 1 1
Direct
0.0000 0.0000 0.0000 Cl
0.5000 0.0000 0.0000 As
0.0000 0.5000 0.0000 As
0.0000 0.0000 0.5000 Br
0.5000 0.5000 0.5000 Bi
```

Values from the calculation:
M_tot: 0.000 μB/atom
SG: P4/mmm (123)
Distance to the lowest polymorph of the same formula: 0.092 eV/atom
DFT total energy: -2.598 eV per atom



[6]
Computed, not measured: CoBiAs2Br after structural relaxation at the PBE-GGA level of DFT.

Geometry as POSCAR:
```
CoBiAs2Br
1.0
-0.5431 -3.2862 -3.2220
4.4958 0.3146 -1.0787
1.0839 -3.5836 3.4724
Co As Br Bi
1 2 1 1
Direct
0.0000 0.0000 0.0000 Co
0.0000 0.5000 0.0000 As
0.5000 0.0000 0.0000 As
0.0000 0.0000 0.5000 Br
0.5000 0.5000 0.5000 Bi
```

Values from the calculation:
M_tot: 0.000 μB/atom
SG: P4/mmm (123)
Distance to the lowest polymorph of the same formula: 0.000 eV/atom
DFT total energy: -4.079 eV per atom



[7]
Computed, not measured: CrBiAsBr2 after structural relaxation at the PBE-GGA level of DFT.

Geometry as POSCAR:
```
CrBiAsBr2
1.0
4.9470 0.0000 0.0000
0.0000 4.9470 0.0000
0.0000 0.0000 5.2588
Br Bi As Cr
2 1 1 1
Direct
0.5000 0.0000 0.0000 Br
0.0000 0.5000 0.0000 Br
0.5000 0.5000 0.5000 Bi
0.0000 0.0000 0.5000 As
0.0000 0.0000 0.0000 Cr
```

Values from the calculation:
M_tot: 0.705 μB/atom
SG: P4/mmm (123)
Distance to the lowest polymorph of the same formula: 0.000 eV/atom
DFT total energy: -4.212 eV per atom



[8]
Computed, not measured: CsBiAsBr2 after structural relaxation at the PBE-GGA level of DFT.

Geometry as POSCAR:
```
CsBiAsBr2
1.0
-3.7247 5.0842 0.0406
-4.6907 -3.4556 2.4043
1.8899 1.3398 5.6128
Bi Br Cs As
1 2 1 1
Direct
0.5000 0.5000 0.5000 Bi
0.5000 0.0000 0.0000 Br
0.0000 0.5000 0.0000 Br
0.0000 0.0000 0.0000 Cs
0.0000 0.0000 0.5000 As
```

Values from the calculation:
M_tot: 0.290 μB/atom
SG: P4/mmm (123)
Distance to the lowest polymorph of the same formula: 1.187 eV/atom
DFT total energy: -1.907 eV per atom



[9]
Computed, not measured: CsBiAsBr2 after structural relaxation at the PBE-GGA level of DFT.

Geometry as POSCAR:
```
CsBiAsBr2
1.0
6.0471 0.0000 0.0000
0.0000 6.0471 0.0000
0.0000 0.0000 5.5303
Br As Bi Cs
2 1 1 1
Direct
0.0000 0.5000 0.0000 Br
0.5000 0.0000 0.0000 Br
0.0000 0.0000 0.5000 As
0.0000 0.0000 0.0000 Bi
0.5000 0.5000 0.5000 Cs
```

Values from the calculation:
M_tot: 0.148 μB/atom
SG: P4/mmm (123)
Distance to the lowest polymorph of the same formula: 0.000 eV/atom
DFT total energy: -3.094 eV per atom



[10]
Computed, not measured: CuBiAs2Br after structural relaxation at the PBE-GGA level of DFT.

Geometry as POSCAR:
```
CuBiAs2Br
1.0
-2.0209 -3.7461 2.3359
-1.3672 -1.9116 -4.2485
4.2492 -2.4559 -0.2624
As Cu Bi Br
2 1 1 1
Direct
0.5000 0.0000 0.0000 As
0.0000 0.5000 0.0000 As
0.0000 0.0000 0.0000 Cu
0.5000 0.5000 0.5000 Bi
0.0000 0.0000 0.5000 Br
```

Values from the calculation:
M_tot: 0.000 μB/atom
SG: P4/mmm (123)
Distance to the lowest polymorph of the same formula: 0.000 eV/atom
DFT total energy: -3.391 eV per atom



[11]
Computed, not measured: CuBiAs2Br after structural relaxation at the PBE-GGA level of DFT.

Geometry as POSCAR:
```
CuBiAs2Br
1.0
-2.1027 -4.5265 0.9222
5.1186 -2.1914 0.9147
-0.3756 1.1775 4.9228
As Cu Bi Br
2 1 1 1
Direct
0.5000 0.0000 0.0000 As
0.0000 0.0000 0.5000 As
0.5000 0.5000 0.5000 Cu
0.0000 0.5000 0.0000 Bi
0.0000 0.0000 0.0000 Br
```

Values from the calculation:
M_tot: 0.000 μB/atom
SG: P4/mmm (123)
Distance to the lowest polymorph of the same formula: 0.938 eV/atom
DFT total energy: -2.453 eV per atom



[12]
Computed, not measured: Fe2BiAsBr after structural relaxation at the PBE-GGA level of DFT.

Geometry as POSCAR:
```
Fe2BiAsBr
1.0
4.4434 0.0000 0.0000
0.0000 6.2245 0.0000
0.0000 0.0000 4.4434
Fe As Bi Br
2 1 1 1
Direct
0.0000 0.0000 0.5000 Fe
0.5000 0.0000 0.0000 Fe
0.5000 0.5000 0.5000 As
0.0000 0.5000 0.0000 Bi
0.0000 0.0000 0.0000 Br
```

Values from the calculation:
M_tot: 1.069 μB/atom
SG: P4/mmm (123)
DFT total energy: -4.317 eV per atom